Entry 1:
Compound: La2Pr2Nd4Tm
Source: Alexandria
Functional: PBE
Structure: relaxed

energy relative to the elements: 0.014 eV per atom
space-group type: No. 12
crystal system: monoclinic
total magnetization: 0.000 μB per atom

a b c (Å): 9.7975 9.7975 9.8849
angles (deg): 115.00 115.00 21.87
Closest atoms and distances in Å follow each position.
Positions (direct):
La 0.1643 0.1643 0.0001  3 Nd 3.61-3.65, 2 Tm 3.67, 3 Pr 3.67-3.71, 4 La 3.72-3.78
La 0.8357 0.8357 0.9999  3 Nd 3.61-3.65, 2 Tm 3.67, 3 Pr 3.67-3.71, 4 La 3.72-3.78
Pr 0.3531 0.3531 0.3330  3 La 3.67-3.71, 7 Nd 3.67-3.73, 2 Pr 3.72
Pr 0.6469 0.6469 0.6670  3 La 3.67-3.71, 7 Nd 3.67-3.73, 2 Pr 3.72
Nd 0.0185 0.0185 0.3279  1 La 3.61, 2 Tm 3.62, 5 Nd 3.68-3.76, 4 Pr 3.70
Nd 0.3150 0.3150 0.6666  2 La 3.65, 1 Tm 3.66, 6 Nd 3.67-3.72, 3 Pr 3.67-3.73
Nd 0.6850 0.6850 0.3334  2 La 3.65, 1 Tm 3.66, 6 Nd 3.67-3.72, 3 Pr 3.67-3.73
Nd 0.9815 0.9815 0.6721  1 La 3.61, 2 Tm 3.62, 5 Nd 3.68-3.76, 4 Pr 3.70
Tm 0.5000 0.5000 0.0000  6 Nd 3.62-3.66, 4 La 3.67, 2 Tm 3.72



Entry 2:
Compound: La3Pr6NdTm2
Source: Alexandria
Functional: PBE
Structure: relaxed

energy relative to the elements: 0.019 eV per atom
space-group type: No. 12
crystal system: monoclinic
total magnetization: 0.000 μB per atom

a b c (Å): 6.3859 6.3859 12.1924
angles (deg): 95.02 95.02 120.04
Closest atoms and distances in Å follow each position.
Positions (direct):
La 0.0000 0.0000 0.0000  6 La 3.68-3.69, 6 Pr 3.73-3.74
La 0.3331 0.6669 0.0000  6 La 3.68-3.69, 6 Pr 3.73-3.74
La 0.6669 0.3331 0.0000  6 La 3.68-3.69, 6 Pr 3.73-3.74
Pr 0.0834 0.4183 0.2556  2 Tm 3.62, 1 Nd 3.63, 6 Pr 3.68-3.71, 3 La 3.73-3.74
Pr 0.2471 0.2471 0.7443  2 Tm 3.62, 1 Nd 3.63, 6 Pr 3.68-3.70, 3 La 3.73-3.74
Pr 0.4183 0.0834 0.2556  2 Tm 3.62, 1 Nd 3.63, 6 Pr 3.68-3.71, 3 La 3.73-3.74
Pr 0.5817 0.9166 0.7444  2 Tm 3.62, 1 Nd 3.63, 6 Pr 3.68-3.71, 3 La 3.73-3.74
Pr 0.7529 0.7529 0.2557  2 Tm 3.62, 1 Nd 3.63, 6 Pr 3.68-3.70, 3 La 3.73-3.74
Pr 0.9166 0.5817 0.7444  2 Tm 3.62, 1 Nd 3.63, 6 Pr 3.68-3.71, 3 La 3.73-3.74
Nd 0.5000 0.5000 0.5000  6 Pr 3.63, 6 Tm 3.69
Tm 0.1667 0.8333 0.5000  6 Pr 3.62, 3 Tm 3.69, 3 Nd 3.69
Tm 0.8333 0.1667 0.5000  6 Pr 3.62, 3 Tm 3.69, 3 Nd 3.69



Entry 3:
Compound: LaPr2NdTm
Source: Alexandria
Functional: PBE
Structure: relaxed

energy relative to the elements: 0.261 eV per atom
space-group type: No. 13
crystal system: monoclinic
total magnetization: 0.000 μB per atom

a b c (Å): 8.6324 6.5732 6.3780
angles (deg): 90.00 94.97 90.00
Closest atoms and distances in Å follow each position.
Positions (direct):
La 0.0000 0.0000 0.0000  2 La 3.19, 2 Nd 3.30
La 0.0000 0.0000 0.5000  2 La 3.19, 2 Nd 3.30
Pr 0.3135 0.3082 0.2220  1 Nd 3.19, 1 Pr 3.21, 1 Tm 3.52, 1 La 3.57
Pr 0.3135 0.6918 0.7220  1 Nd 3.19, 1 Pr 3.21, 1 Tm 3.52, 1 La 3.57
Pr 0.6865 0.3082 0.2780  1 Nd 3.19, 1 Pr 3.21, 1 Tm 3.52, 1 La 3.57
Pr 0.6865 0.6918 0.7780  1 Nd 3.19, 1 Pr 3.21, 1 Tm 3.52, 1 La 3.57
Nd 0.0000 0.4394 0.7500  2 Pr 3.19, 2 Nd 3.29, 2 La 3.30
Nd 0.0000 0.5606 0.2500  2 Pr 3.19, 2 Nd 3.29, 2 La 3.30
Tm 0.5000 0.1678 0.7500  8 Pr 3.52-3.80, 2 Tm 3.88
Tm 0.5000 0.8322 0.2500  8 Pr 3.52-3.80, 2 Tm 3.88



Entry 4:
Compound: La2PrNdTm2
Source: Alexandria
Functional: PBE
Structure: relaxed

energy relative to the elements: 0.022 eV per atom
space-group type: No. 26
crystal system: orthorhombic
total magnetization: 0.000 μB per atom

a b c (Å): 5.1666 10.9558 7.2466
angles (deg): 90.00 90.00 90.00
Closest atoms and distances in Å follow each position.
Positions (direct):
La 0.0000 0.0026 0.0000  5 Tm 3.62-3.70, 6 La 3.62-3.65, 1 Pr 3.70
La 0.0000 0.9974 0.5000  5 Tm 3.62-3.70, 6 La 3.62-3.65, 1 Pr 3.70
La 0.5000 0.1675 0.2532  5 Tm 3.62-3.71, 4 La 3.65, 2 Pr 3.65, 1 Nd 3.68
La 0.5000 0.8325 0.7532  5 Tm 3.62-3.71, 4 La 3.65, 2 Pr 3.65, 1 Nd 3.68
Pr 0.0000 0.3351 0.5041  5 Tm 3.62-3.64, 4 Nd 3.63-3.64, 3 La 3.65-3.70
Pr 0.0000 0.6649 0.0041  5 Tm 3.62-3.64, 4 Nd 3.63-3.64, 3 La 3.65-3.70
Nd 0.5000 0.4968 0.7572  5 Tm 3.57-3.68, 2 Nd 3.62, 4 Pr 3.63-3.64, 1 La 3.68
Nd 0.5000 0.5032 0.2572  5 Tm 3.57-3.68, 2 Nd 3.62, 4 Pr 3.63-3.64, 1 La 3.68
Tm 0.0000 0.3330 0.0043  4 Nd 3.62-3.68, 3 La 3.62-3.64, 3 Pr 3.62-3.64, 2 Tm 3.62
Tm 0.0000 0.6670 0.5043  4 Nd 3.62-3.68, 3 La 3.62-3.64, 3 Pr 3.62-3.64, 2 Tm 3.62
Tm 0.5000 0.1712 0.7531  1 Nd 3.57, 7 La 3.62-3.71, 2 Tm 3.62, 2 Pr 3.63
Tm 0.5000 0.8288 0.2531  1 Nd 3.57, 7 La 3.62-3.71, 2 Tm 3.62, 2 Pr 3.63



Number 1: D(E_F) 12.64 states/eV/cell. Number 2: D(E_F) 19.36 states/eV/cell. Number 3: D(E_F) 13.56 states/eV/cell. Number 4: D(E_F) 17.12 states/eV/cell.